Compound: PuZnMoO6
Source: the Alexandria database
Functional: PBE+U
Structure: optimized geometry

Results
- size of the total moment (μB/f.u.) = 4.000
- calculated total energy (eV per atom) = -7.742

a b c (Å): 5.2499 5.2499 9.2369
angles (deg): 90.00 90.00 120.00
Space group P-31c (No. 163)
One atom of each set of equivalent atoms:
1 Pu 0.3333 0.6667 0.2500 (multiplicity 2)
2 Zn 0.3333 0.6667 0.7500 (multiplicity 2)
3 Mo 0.0000 0.0000 0.0000 (multiplicity 2)
4 O 0.0040 0.3227 0.1262 (multiplicity 12)